ZrPtW2: relaxed, PBE-GGA.

Magnetization in μB per formula unit: 0.0
Uncorrected energy in eV per atom: -10.131
D(E_F) in states/eV/atom: 0.895
Offset from the most stable computed form in eV per atom: 0.164

a b c (Å): 2.7746 4.8770 5.1455
angles (deg): 90.00 97.07 90.00
Space group P2/m (No. 10)
Asymmetric unit:
Zr: 0.0000 0.0000 0.0000 [1 per cell]
Pt: 0.5000 0.0000 0.5000 [1 per cell]
W: 0.2794 0.5000 0.7571 [2 per cell]



U3BeTl3Se8: relaxed, PBE-GGA.

Magnetization in μB per formula unit: 7.0
Uncorrected energy in eV per atom: -5.624
D(E_F) in states/eV/atom: 0.843

a b c (Å): 14.0085 8.0930 9.2196
angles (deg): 90.00 120.45 90.00
Space group C2/m (No. 12)
Asymmetric unit:
U: 0.0000 0.0000 0.0000 [2 per cell]
U: 0.2500 0.2500 0.0000 [4 per cell]
Be: 0.0000 0.5000 0.0000 [2 per cell]
Tl: 0.0000 0.5000 0.5000 [2 per cell]
Tl: 0.2500 0.2500 0.5000 [4 per cell]
Se: 0.0146 0.2686 0.8127 [8 per cell]
Se: 0.2150 0.5000 0.1859 [4 per cell]
Se: 0.2366 0.0000 0.2092 [4 per cell]